(1)
First-principles (PBE) data for crystalline Pm3NdH at its relaxed geometry, as listed in Alexandria.

Cell: 5.1474 5.1474 5.1474 Å, 90.00 90.00 90.00°
Last column: nearest neighbours and their distance in Å.
Atoms (fractional coordinates):
Pm (0.0000, 0.0000, 0.5000)  2 H 2.57
Pm (0.0000, 0.5000, 0.0000)  2 H 2.57
Pm (0.5000, 0.0000, 0.0000)  2 H 2.57
Nd (0.5000, 0.5000, 0.5000)  12 Pm 3.64
H (0.0000, 0.0000, 0.0000)  6 Pm 2.57

Properties
**Size of the total moment**: 0.0 μB per cell
**Crystal system**: cubic
**Uncorrected energy**: -4.6508 eV/atom

(2)
First-principles (PBE) data for crystalline RbLaI2Cl at its relaxed geometry, as listed in Alexandria.

Cell: 6.7811 6.7811 5.3626 Å, 90.00 90.00 90.00°
Last column: nearest neighbours and their distance in Å.
Atoms (fractional coordinates):
Rb (0.0000, 0.0000, 0.0000)  2 Cl 2.68
La (0.5000, 0.5000, 0.0000)  8 I 4.32, 4 Rb 4.79
I (0.0000, 0.5000, 0.5000)  2 Cl 3.39
I (0.5000, 0.0000, 0.5000)  2 Cl 3.39
Cl (0.0000, 0.0000, 0.5000)  2 Rb 2.68

Properties
**Uncorrected formation energy**: -375 meV/atom
**Energy relative to the lowest polymorph listed for this composition**: 1139 meV per atom
**Size of the total moment**: 1.0 μB per cell
**Crystal system**: tetragonal
**Uncorrected energy**: -2.5436 eV/atom

(3)
First-principles (PBE) data for crystalline Li3MgZn at its relaxed geometry, as listed in Alexandria.

Cell: 5.0655 5.0655 5.0655 Å, 90.00 90.00 90.00°
Last column: nearest neighbours and their distance in Å.
Atoms (fractional coordinates):
Li (0.0000, 0.0000, 0.5000)  2 Mg 2.53
Li (0.0000, 0.5000, 0.0000)  2 Mg 2.53
Li (0.5000, 0.0000, 0.0000)  2 Mg 2.53
Mg (0.0000, 0.0000, 0.0000)  6 Li 2.53
Zn (0.5000, 0.5000, 0.5000)  12 Li 3.58

Properties
**Energy relative to the lowest polymorph listed for this composition**: 607 meV per atom
**Size of the total moment**: 0.0 μB per cell
**Energy relative to the elements**: 0.525 eV/atom
**Crystal system**: cubic
**Uncorrected energy**: -1.1968 eV/atom

(4)
First-principles (PBE) data for crystalline Ca2Fe3 at its relaxed geometry, as listed in Alexandria.

Cell: 7.9610 5.4238 8.7363 Å, 63.45 37.55 79.00°
Last column: nearest neighbours and their distance in Å.
Atoms (fractional coordinates):
Ca (0.2166, 0.7834, 0.3829)  7 Fe 2.89-3.15
Ca (0.6329, 0.8671, 0.4666)  7 Fe 2.89-3.15
Ca (0.7834, 0.2166, 0.6171)  7 Fe 2.89-3.15
Ca (0.8671, 0.6329, 0.0334)  7 Fe 2.89-3.15
Fe (0.2212, 0.3026, 0.0294)  2 Fe 2.39-2.41
Fe (0.2206, 0.8031, 0.0288)  2 Fe 2.39-2.41
Fe (0.2372, 0.2372, 0.7628)  4 Fe 2.39-2.41
Fe (0.3026, 0.2212, 0.4469)  2 Fe 2.39-2.41
Fe (0.4872, 0.4872, 0.0128)  4 Fe 2.39-2.41
Fe (0.8031, 0.2206, 0.9474)  2 Fe 2.39-2.41

Properties
**Size of the total moment**: 12.7 μB per cell
**Energy relative to the elements**: 0.335 eV/atom
**Crystal system**: orthorhombic
**Uncorrected energy**: -5.5437 eV/atom

(5)
First-principles (PBE) data for crystalline Ti2Cr2Cu at its relaxed geometry, as listed in Alexandria.

Cell: 6.4258 6.4258 3.4711 Å, 90.00 90.00 90.00°
Last column: nearest neighbours and their distance in Å.
Atoms (fractional coordinates):
Ti (0.1793, 0.3207, 0.0000)  6 Cr 2.55-2.60
Ti (0.3207, 0.8207, 0.0000)  6 Cr 2.55-2.60
Ti (0.6793, 0.1793, 0.0000)  6 Cr 2.55-2.60
Ti (0.8207, 0.6793, 0.0000)  6 Cr 2.55-2.60
Cr (0.1157, 0.6157, 0.5000)  1 Cr 2.10
Cr (0.3843, 0.1157, 0.5000)  1 Cr 2.10
Cr (0.6157, 0.8843, 0.5000)  1 Cr 2.10
Cr (0.8843, 0.3843, 0.5000)  1 Cr 2.10
Cu (0.0000, 0.0000, 0.5000)  4 Cr 2.58
Cu (0.5000, 0.5000, 0.5000)  4 Cr 2.58

Properties
**Size of the total moment**: 0.0 μB per cell
**Energy relative to the elements**: 0.192 eV/atom
**Crystal system**: tetragonal
**Uncorrected energy**: -7.6347 eV/atom

(6)
First-principles (PBE) data for crystalline Cd2SiICl at its relaxed geometry, as listed in Alexandria.

Cell: 6.1231 6.1231 5.5789 Å, 90.00 90.00 90.00°
Last column: nearest neighbours and their distance in Å.
Atoms (fractional coordinates):
Cd (0.0000, 0.5000, 0.0000)  2 I 3.06
Cd (0.5000, 0.0000, 0.0000)  2 I 3.06
Si (0.0000, 0.0000, 0.5000)  2 I 2.79
I (0.0000, 0.0000, 0.0000)  2 Si 2.79, 4 Cd 3.06
Cl (0.5000, 0.5000, 0.5000)  8 Cd 4.14, 4 Si 4.33

Properties
**Uncorrected formation energy**: 736 meV/atom
**Size of the total moment**: 1.4 μB per cell
**Crystal system**: tetragonal
**Uncorrected energy**: -1.3940 eV/atom

(7)
First-principles (PBE) data for crystalline La2Al3Zn4Ge at its relaxed geometry, as listed in Alexandria.

Cell: 4.3642 4.3642 10.6133 Å, 90.00 90.00 90.00°
Last column: nearest neighbours and their distance in Å.
Atoms (fractional coordinates):
La (0.0000, 0.5000, 0.2480)  8 Zn 3.32-3.42, 6 Al 3.34-3.45, 2 Ge 3.45
La (0.5000, 0.0000, 0.7520)  8 Zn 3.32-3.42, 6 Al 3.34-3.45, 2 Ge 3.45
Al (0.0000, 0.5000, 0.8712)  5 Zn 2.49-2.57
Al (0.5000, 0.0000, 0.1288)  5 Zn 2.49-2.57
Al (0.5000, 0.5000, 0.5000)  4 Zn 2.62
Zn (0.0000, 0.0000, 0.0000)  4 Al 2.57
Zn (0.0000, 0.5000, 0.6363)  3 Al 2.49-2.62, 2 Ge 2.62
Zn (0.5000, 0.0000, 0.3637)  3 Al 2.49-2.62, 2 Ge 2.62
Zn (0.5000, 0.5000, 0.0000)  4 Al 2.57
Ge (0.0000, 0.0000, 0.5000)  4 Zn 2.62

Properties
**Size of the total moment**: 0.0 μB per cell
**Energy relative to the elements**: -0.427 eV/atom
**Crystal system**: tetragonal
**Uncorrected energy**: -3.5071 eV/atom

(8)
First-principles (PBE) data for crystalline Sr2HgPt at its relaxed geometry, as listed in Alexandria.

Cell: 4.4747 4.4747 23.1574 Å, 90.00 90.00 120.00°
Last column: nearest neighbours and their distance in Å.
Atoms (fractional coordinates):
Sr (0.0000, 0.0000, 0.0000)  3 Pt 3.01
Sr (0.0000, 0.0000, 0.1956)  3 Pt 3.06
Sr (0.3333, 0.6667, 0.6667)  3 Pt 3.01
Sr (0.3333, 0.6667, 0.8622)  3 Pt 3.06
Sr (0.6667, 0.3333, 0.3333)  3 Pt 3.01
Sr (0.6667, 0.3333, 0.5289)  3 Pt 3.06
Hg (0.0000, 0.0000, 0.7617)  6 Sr 3.39-3.48, 1 Pt 3.74
Hg (0.3333, 0.6667, 0.4283)  6 Sr 3.39-3.48, 1 Pt 3.74
Hg (0.6667, 0.3333, 0.0950)  6 Sr 3.39-3.48, 1 Pt 3.74
Pt (0.0000, 0.0000, 0.6000)  6 Sr 3.01-3.06
Pt (0.3333, 0.6667, 0.2667)  6 Sr 3.01-3.06
Pt (0.6667, 0.3333, 0.9334)  6 Sr 3.01-3.06

Properties
**Size of the total moment**: 0.0 μB per cell
**Energy relative to the elements**: -0.602 eV/atom
**Crystal system**: trigonal
**Uncorrected energy**: -3.0284 eV/atom

(9)
First-principles (PBE) data for crystalline CaLa2Hg at its relaxed geometry, as listed in Alexandria.

Cell: 4.0811 4.0811 8.1728 Å, 90.00 90.00 90.00°
Last column: nearest neighbours and their distance in Å.
Atoms (fractional coordinates):
Ca (0.0000, 0.0000, 0.0000)  8 La 3.72, 4 Ca 4.08, 2 Hg 4.09
La (0.5000, 0.5000, 0.2871)  4 Hg 3.37, 1 La 3.48, 4 Ca 3.72
La (0.5000, 0.5000, 0.7129)  4 Hg 3.37, 1 La 3.48, 4 Ca 3.72
Hg (0.0000, 0.0000, 0.5000)  8 La 3.37

Properties
**Size of the total moment**: 0.0 μB per cell
**Energy relative to the elements**: -0.199 eV/atom
**Crystal system**: tetragonal
**Uncorrected energy**: -3.2390 eV/atom

(10)
First-principles (PBE) data for crystalline AlSiOs at its relaxed geometry, as listed in Alexandria.

Cell: 5.7865 5.7865 5.7865 Å, 90.00 90.00 90.00°
Last column: nearest neighbours and their distance in Å.
Atoms (fractional coordinates):
Al (0.0000, 0.0000, 0.0000)  4 Os 2.51
Al (0.0000, 0.5000, 0.5000)  4 Os 2.51
Al (0.5000, 0.0000, 0.5000)  4 Os 2.51
Al (0.5000, 0.5000, 0.0000)  4 Os 2.51
Si (0.0000, 0.0000, 0.5000)  4 Os 2.51
Si (0.0000, 0.5000, 0.0000)  4 Os 2.51
Si (0.5000, 0.0000, 0.0000)  4 Os 2.51
Si (0.5000, 0.5000, 0.5000)  4 Os 2.51
Os (0.2500, 0.2500, 0.2500)  4 Al 2.51, 4 Si 2.51
Os (0.2500, 0.7500, 0.7500)  4 Al 2.51, 4 Si 2.51
Os (0.7500, 0.2500, 0.7500)  4 Al 2.51, 4 Si 2.51
Os (0.7500, 0.7500, 0.2500)  4 Al 2.51, 4 Si 2.51

Properties
**Uncorrected formation energy**: -187 meV/atom
**Size of the total moment**: 0.0 μB per cell
**Crystal system**: cubic
**Uncorrected energy**: -6.9850 eV/atom

(11)
First-principles (PBE) data for crystalline NbAsIr2Au at its relaxed geometry, as listed in Alexandria.

Cell: 4.5357 4.5357 4.7908 Å, 90.00 90.00 90.00°
Last column: nearest neighbours and their distance in Å.
Atoms (fractional coordinates):
Nb (0.0000, 0.0000, 0.0000)  4 Au 3.21, 8 Ir 3.30
As (0.5000, 0.5000, 0.5000)  4 Ir 2.27, 2 Au 2.40
Ir (0.0000, 0.5000, 0.5000)  2 As 2.27
Ir (0.5000, 0.0000, 0.5000)  2 As 2.27
Au (0.5000, 0.5000, 0.0000)  2 As 2.40

Properties
**Size of the total moment**: 0.0 μB per cell
**Energy relative to the elements**: 1.020 eV/atom
**Crystal system**: tetragonal
**Uncorrected energy**: -6.1238 eV/atom

(12)
First-principles (PBE) data for crystalline La2Nd8Th3 at its relaxed geometry, as listed in Alexandria.

Cell: 7.4736 7.4736 10.0053 Å, 111.44 111.44 90.75°
Last column: nearest neighbours and their distance in Å.
Atoms (fractional coordinates):
La (0.2366, 0.2366, 0.4761)  8 Nd 3.56-3.65, 4 Th 3.74
La (0.7634, 0.7634, 0.5239)  8 Nd 3.56-3.65, 4 Th 3.74
Nd (0.1538, 0.6297, 0.7844)  3 Th 3.34-3.59, 3 Nd 3.53-3.68, 2 La 3.57-3.65
Nd (0.1575, 0.1575, 0.7839)  3 Th 3.34-3.61, 3 Nd 3.53-3.69, 2 La 3.56-3.58
Nd (0.3703, 0.8462, 0.2156)  3 Th 3.34-3.59, 3 Nd 3.53-3.68, 2 La 3.57-3.65
Nd (0.3734, 0.3734, 0.2156)  3 Th 3.35-3.59, 3 Nd 3.53-3.69, 2 La 3.57-3.62
Nd (0.6266, 0.6266, 0.7844)  3 Th 3.35-3.59, 3 Nd 3.53-3.69, 2 La 3.57-3.62
Nd (0.6297, 0.1538, 0.7844)  3 Th 3.34-3.59, 3 Nd 3.53-3.68, 2 La 3.57-3.65
Nd (0.8425, 0.8425, 0.2161)  3 Th 3.34-3.61, 3 Nd 3.53-3.69, 2 La 3.56-3.58
Nd (0.8462, 0.3703, 0.2156)  3 Th 3.34-3.59, 3 Nd 3.53-3.68, 2 La 3.57-3.65
Th (0.0000, 0.0000, 0.0000)  8 Nd 3.34-3.35
Th (0.2514, 0.7486, 0.5000)  8 Nd 3.57-3.61, 4 La 3.74
Th (0.7486, 0.2514, 0.5000)  8 Nd 3.57-3.61, 4 La 3.74

Properties
**Size of the total moment**: 0.0 μB per cell
**Energy relative to the elements**: 0.266 eV/atom
**Crystal system**: monoclinic
**Uncorrected energy**: -5.1388 eV/atom

(13)
First-principles (PBE) data for crystalline TbNd2NpN4 at its relaxed geometry, as listed in Alexandria.

Cell: 6.0942 3.5465 6.1556 Å, 90.00 108.84 90.00°
Last column: nearest neighbours and their distance in Å.
Atoms (fractional coordinates):
Tb (0.0000, 0.0000, 0.0000)  6 N 2.45-2.48
Nd (0.0000, 0.5000, 0.5000)  6 N 2.63-2.69
Nd (0.5000, 0.0000, 0.5000)  6 N 2.54-2.57
Np (0.5000, 0.5000, 0.0000)  6 N 2.30-2.40
N (0.2613, 0.5000, 0.2220)  1 Np 2.30, 2 Tb 2.48, 2 Nd 2.57
N (0.2678, 0.0000, 0.7770)  2 Np 2.40, 1 Tb 2.45, 3 Nd 2.54-2.63
N (0.7322, 0.0000, 0.2230)  2 Np 2.40, 1 Tb 2.45, 3 Nd 2.54-2.63
N (0.7387, 0.5000, 0.7780)  1 Np 2.30, 2 Tb 2.48, 2 Nd 2.57

Properties
**Uncorrected formation energy**: -1396 meV/atom
**Size of the total moment**: 2.7 μB per cell
**Crystal system**: monoclinic
**Uncorrected energy**: -8.9467 eV/atom